The following is a DFT calculation (PBE) of a relaxed structure of TcPtSN2.

Cell and atoms, written as CIF:
```
data_TcPtSN2
_chemical_formula_sum 'Tc1 Pt1 S1 N2'
_space_group_name_H-M_alt 'P 4/m m m'
_space_group_IT_number 123
_space_group_name_Hall '-P 4 2'
_cell_length_a 3.742
_cell_length_b 3.742
_cell_length_c 5.300
_cell_angle_alpha 90.00
_cell_angle_beta 90.00
_cell_angle_gamma 90.00
loop_
_atom_site_label
_atom_site_fract_x
_atom_site_fract_y
_atom_site_fract_z
_atom_site_occupancy
Tc1 0.000 0.000 0.000 1
Pt1 0.500 0.500 0.500 1
S1 0.000 0.000 0.500 1
N1 0.000 0.500 0.000 1
```

Calculated values
* DOS at the Fermi energy: 4.0 states/eV/cell
* raw formation energy: 0.839 eV/atom
* E_tot: -6.5982 eV per atom
* calculated volume: 74.23 Å³/cell